Record 1
A relaxed CeIn2HgBr6 crystal. Source: the Alexandria database, functional PBE.

Structure (CIF):
```
data_CeIn2HgBr6
_cell_length_a 8.1704
_cell_length_b 8.1704
_cell_length_c 21.9915
_cell_angle_alpha 90.00
_cell_angle_beta 90.00
_cell_angle_gamma 120.00
_symmetry_space_group_name_H-M 'R 3'
_symmetry_Int_Tables_number 146
_symmetry_space_group_name_Hall 'R 3'
loop_
_atom_site_label
_atom_site_fract_x
_atom_site_fract_y
_atom_site_fract_z
_atom_site_occupancy
Ce1 0.0000 0.0000 0.0000 1
In1 0.0000 0.0000 0.1927 1
In2 0.0000 0.0000 0.6721 1
Hg1 0.0000 0.0000 0.4895 1
Br1 0.0489 0.3737 0.5969 1
Br2 0.0777 0.7005 0.7455 1
```

Output
Raw formation energy in kJ/mol of formula units: -1023

=====

Record 2
A relaxed POs crystal. Source: the Alexandria database, functional PBE.

Structure (CIF):
```
data_POs
_cell_length_a 9.4714
_cell_length_b 9.4714
_cell_length_c 3.0303
_cell_angle_alpha 90.00
_cell_angle_beta 90.00
_cell_angle_gamma 120.00
_symmetry_space_group_name_H-M 'P 63/m'
_symmetry_Int_Tables_number 176
_symmetry_space_group_name_Hall '-P 6c'
loop_
_atom_site_label
_atom_site_fract_x
_atom_site_fract_y
_atom_site_fract_z
_atom_site_occupancy
P1 0.0887 0.3870 0.2500 1
Os1 0.1049 0.6455 0.2500 1
```

Output
DOS at the Fermi energy in states/eV/cell: 8.106
Energy of formation from the pure elements in eV/atom: -0.06

=====

Record 3
A relaxed ZnMoRh2 crystal. Source: the Alexandria database, functional PBE.

Structure (CIF):
```
data_ZnMoRh2
_cell_length_a 2.8285
_cell_length_b 2.8285
_cell_length_c 7.1858
_cell_angle_alpha 90.00
_cell_angle_beta 90.00
_cell_angle_gamma 90.00
_symmetry_space_group_name_H-M 'P 4/m m m'
_symmetry_Int_Tables_number 123
_symmetry_space_group_name_Hall '-P 4 2'
loop_
_atom_site_label
_atom_site_fract_x
_atom_site_fract_y
_atom_site_fract_z
_atom_site_occupancy
Zn1 0.0000 0.0000 0.0000 1
Mo1 0.0000 0.0000 0.5000 1
Rh1 0.5000 0.5000 0.2452 1
```

Output
DOS at the Fermi energy in states/eV/cell: 2.390
Energy of formation from the pure elements in eV/atom: -0.32

=====

Record 4
A relaxed HfScTe3 crystal. Source: the Alexandria database, functional PBE.

Structure (CIF):
```
data_HfScTe3
_cell_length_a 7.2987
_cell_length_b 4.1611
_cell_length_c 10.8045
_cell_angle_alpha 90.00
_cell_angle_beta 103.18
_cell_angle_gamma 90.00
_symmetry_space_group_name_H-M 'P 1 21/m 1'
_symmetry_Int_Tables_number 11
loop_
_symmetry_equiv_pos_as_xyz
'x,y,z'
'-x,-y,-z'
'-x,y+1/2,-z'
'x,-y+1/2,z'
loop_
_atom_site_label
_atom_site_fract_x
_atom_site_fract_y
_atom_site_fract_z
_atom_site_occupancy
Hf1 0.0473 0.2500 0.1393 1
Sc1 0.4800 0.2500 0.6613 1
Te1 0.2530 0.7500 0.7325 1
Te2 0.2709 0.2500 0.3983 1
Te3 0.2714 0.7500 0.0766 1
```

Output
DOS at the Fermi energy in states/eV/cell: 5.290
Raw formation energy in kJ/mol of formula units: -389

=====

Record 5
A relaxed Ac2La4PmPr crystal. Source: the Alexandria database, functional PBE.

Structure (CIF):
```
data_Ac2La4PmPr
_cell_length_a 6.5842
_cell_length_b 3.8076
_cell_length_c 12.5096
_cell_angle_alpha 90.00
_cell_angle_beta 100.26
_cell_angle_gamma 90.00
_symmetry_space_group_name_H-M 'P 1 2/m 1'
_symmetry_Int_Tables_number 10
loop_
_symmetry_equiv_pos_as_xyz
'x,y,z'
'-x,-y,-z'
'-x,y,-z'
'x,-y,z'
loop_
_atom_site_label
_atom_site_fract_x
_atom_site_fract_y
_atom_site_fract_z
_atom_site_occupancy
Ac1 0.0000 0.0000 0.0000 1
Ac2 0.5000 0.5000 0.0000 1
La1 0.2448 0.0000 0.7429 1
La2 0.2538 0.5000 0.2565 1
Pm1 0.0000 0.5000 0.5000 1
Pr1 0.5000 0.0000 0.5000 1
```

Output
DOS at the Fermi energy in states/eV/cell: 16.215
Energy of formation from the pure elements in eV/atom: 0.03

=====

Record 6
A relaxed Rb3Cu5F12 crystal. Source: the Alexandria database, functional PBE.

Structure (CIF):
```
data_Rb3Cu5F12
_cell_length_a 13.6439
_cell_length_b 13.6439
_cell_length_c 13.6439
_cell_angle_alpha 90.00
_cell_angle_beta 90.00
_cell_angle_gamma 90.00
_symmetry_space_group_name_H-M 'I a -3 d'
_symmetry_Int_Tables_number 230
_symmetry_space_group_name_Hall '-I 4bd 2c 3'
loop_
_atom_site_label
_atom_site_fract_x
_atom_site_fract_y
_atom_site_fract_z
_atom_site_occupancy
Rb1 0.0000 0.2500 0.1250 1
Cu1 0.0000 0.0000 0.0000 1
Cu2 0.0000 0.2500 0.3750 1
F1 0.0384 0.0404 0.6401 1
```

Output
DOS at the Fermi energy in states/eV/cell: 89.239
Raw formation energy in kJ/mol of formula units: -3556

=====

Record 7
A relaxed KAlSn3 crystal. Source: the Alexandria database, functional PBE.

Structure (CIF):
```
data_KAlSn3
_cell_length_a 5.8780
_cell_length_b 5.8780
_cell_length_c 5.8780
_cell_angle_alpha 90.00
_cell_angle_beta 90.00
_cell_angle_gamma 90.00
_symmetry_space_group_name_H-M 'P m -3 m'
_symmetry_Int_Tables_number 221
_symmetry_space_group_name_Hall '-P 4 2 3'
loop_
_atom_site_label
_atom_site_fract_x
_atom_site_fract_y
_atom_site_fract_z
_atom_site_occupancy
K1 0.0000 0.0000 0.0000 1
Al1 0.5000 0.5000 0.5000 1
Sn1 0.0000 0.0000 0.5000 1
```

Output
DOS at the Fermi energy in states/eV/cell: 3.556
Energy of formation from the pure elements in eV/atom: 1.23

=====

Record 8
A relaxed NaHf2Fe2 crystal. Source: the Alexandria database, functional PBE.

Structure (CIF):
```
data_NaHf2Fe2
_cell_length_a 3.2992
_cell_length_b 3.2992
_cell_length_c 19.8456
_cell_angle_alpha 90.00
_cell_angle_beta 90.00
_cell_angle_gamma 90.00
_symmetry_space_group_name_H-M 'I 4/m m m'
_symmetry_Int_Tables_number 139
_symmetry_space_group_name_Hall '-I 4 2'
loop_
_atom_site_label
_atom_site_fract_x
_atom_site_fract_y
_atom_site_fract_z
_atom_site_occupancy
Na1 0.0000 0.0000 0.0000 1
Hf1 0.0000 0.0000 0.3547 1
Fe1 0.0000 0.5000 0.2500 1
```

Output
DOS at the Fermi energy in states/eV/cell: 7.908
Energy of formation from the pure elements in eV/atom: 0.44

=====

Record 9
A relaxed CsSeO3 crystal. Source: the Alexandria database, functional PBE.

Structure (CIF):
```
data_CsSeO3
_cell_length_a 4.1010
_cell_length_b 4.1010
_cell_length_c 4.1010
_cell_angle_alpha 90.00
_cell_angle_beta 90.00
_cell_angle_gamma 90.00
_symmetry_space_group_name_H-M 'P m -3 m'
_symmetry_Int_Tables_number 221
_symmetry_space_group_name_Hall '-P 4 2 3'
loop_
_atom_site_label
_atom_site_fract_x
_atom_site_fract_y
_atom_site_fract_z
_atom_site_occupancy
Cs1 0.0000 0.0000 0.0000 1
Se1 0.5000 0.5000 0.5000 1
O1 0.0000 0.5000 0.5000 1
```

Output
DOS at the Fermi energy in states/eV/cell: 5.030
Raw formation energy in kJ/mol of formula units: -212

=====

Record 10
A relaxed InCo2Pb2 crystal. Source: the Alexandria database, functional PBE.

Structure (CIF):
```
data_InCo2Pb2
_cell_length_a 4.6092
_cell_length_b 4.6092
_cell_length_c 10.4977
_cell_angle_alpha 90.00
_cell_angle_beta 90.00
_cell_angle_gamma 90.00
_symmetry_space_group_name_H-M 'I 4/m m m'
_symmetry_Int_Tables_number 139
_symmetry_space_group_name_Hall '-I 4 2'
loop_
_atom_site_label
_atom_site_fract_x
_atom_site_fract_y
_atom_site_fract_z
_atom_site_occupancy
In1 0.0000 0.0000 0.0000 1
Co1 0.0000 0.0000 0.3949 1
Pb1 0.0000 0.5000 0.2500 1
```

Output
DOS at the Fermi energy in states/eV/cell: 14.173
Energy of formation from the pure elements in eV/atom: 0.58

=====

Record 11
A relaxed Y2Ho3Tl4 crystal. Source: the Alexandria database, functional PBE.

Structure (CIF):
```
data_Y2Ho3Tl4
_cell_length_a 7.1636
_cell_length_b 16.0785
_cell_length_c 9.2281
_cell_angle_alpha 90.00
_cell_angle_beta 90.00
_cell_angle_gamma 90.00
_symmetry_space_group_name_H-M 'C m c e'
_symmetry_Int_Tables_number 64
_symmetry_space_group_name_Hall '-C 2ac 2'
loop_
_atom_site_label
_atom_site_fract_x
_atom_site_fract_y
_atom_site_fract_z
_atom_site_occupancy
Y1 0.0000 0.1107 0.0720 1
Ho1 0.0000 0.0000 0.5000 1
Ho2 0.2500 0.2110 0.7500 1
Tl1 0.0000 0.1902 0.4600 1
Tl2 0.2500 0.0208 0.7500 1
```

Output
DOS at the Fermi energy in states/eV/cell: 24.185
Energy of formation from the pure elements in eV/atom: -0.21

=====

Record 12
A relaxed LaGaSiNi3 crystal. Source: the Alexandria database, functional PBE.

Structure (CIF):
```
data_LaGaSiNi3
_cell_length_a 6.3118
_cell_length_b 11.6346
_cell_length_c 5.5625
_cell_angle_alpha 90.00
_cell_angle_beta 90.00
_cell_angle_gamma 90.00
_symmetry_space_group_name_H-M 'C m c m'
_symmetry_Int_Tables_number 63
_symmetry_space_group_name_Hall '-C 2c 2'
loop_
_atom_site_label
_atom_site_fract_x
_atom_site_fract_y
_atom_site_fract_z
_atom_site_occupancy
La1 0.0000 0.2229 0.2500 1
Ga1 0.0000 0.4889 0.2500 1
Si1 0.0000 0.1149 0.7500 1
Ni1 0.0000 0.3084 0.7500 1
Ni2 0.1978 0.0000 0.0000 1
```

Output
DOS at the Fermi energy in states/eV/cell: 11.674
Raw formation energy in kJ/mol of formula units: -246

=====

Record 13
A relaxed Sc6P2PtS3 crystal. Source: the Alexandria database, functional PBE.

Structure (CIF):
```
data_Sc6P2PtS3
_cell_length_a 16.4029
_cell_length_b 3.7183
_cell_length_c 7.5548
_cell_angle_alpha 90.00
_cell_angle_beta 103.80
_cell_angle_gamma 90.00
_symmetry_space_group_name_H-M 'C 1 2/m 1'
_symmetry_Int_Tables_number 12
loop_
_symmetry_equiv_pos_as_xyz
'x,y,z'
'-x,-y,-z'
'-x,y,-z'
'x,-y,z'
'x+1/2,y+1/2,z'
'-x+1/2,-y+1/2,-z'
'-x+1/2,y+1/2,-z'
'x+1/2,-y+1/2,z'
loop_
_atom_site_label
_atom_site_fract_x
_atom_site_fract_y
_atom_site_fract_z
_atom_site_occupancy
Sc1 0.0012 0.0000 0.2554 1
Sc2 0.1698 0.5000 0.0907 1
Sc3 0.1701 0.5000 0.5781 1
P1 0.1662 0.0000 0.3330 1
Pt1 0.0000 0.5000 0.0000 1
S1 0.0000 0.5000 0.5000 1
S2 0.1676 0.0000 0.8319 1
```

Output
DOS at the Fermi energy in states/eV/cell: 12.507
Raw formation energy in kJ/mol of formula units: -1871

=====

Record 14
A relaxed Ce2PrOs9 crystal. Source: the Alexandria database, functional PBE.

Structure (CIF):
```
data_Ce2PrOs9
_cell_length_a 5.3249
_cell_length_b 5.3599
_cell_length_c 9.2688
_cell_angle_alpha 106.69
_cell_angle_beta 90.90
_cell_angle_gamma 118.21
_symmetry_space_group_name_H-M 'P -1'
_symmetry_Int_Tables_number 2
loop_
_symmetry_equiv_pos_as_xyz
'x,y,z'
'-x,-y,-z'
loop_
_atom_site_label
_atom_site_fract_x
_atom_site_fract_y
_atom_site_fract_z
_atom_site_occupancy
Ce1 0.1356 0.2837 0.4218 1
Pr1 0.0000 0.0000 0.0000 1
Os1 0.0838 0.6631 0.2400 1
Os2 0.3563 0.6369 0.0061 1
Os3 0.4039 0.3384 0.7377 1
Os4 0.4262 0.8469 0.7645 1
Os5 0.5000 0.0000 0.5000 1
```

Output
DOS at the Fermi energy in states/eV/cell: 14.065
Energy of formation from the pure elements in eV/atom: -0.04

=====

Record 15
A relaxed Gd2PaSb crystal. Source: the Alexandria database, functional PBE.

Structure (CIF):
```
data_Gd2PaSb
_cell_length_a 7.5810
_cell_length_b 7.5810
_cell_length_c 7.5810
_cell_angle_alpha 90.00
_cell_angle_beta 90.00
_cell_angle_gamma 90.00
_symmetry_space_group_name_H-M 'F m -3 m'
_symmetry_Int_Tables_number 225
_symmetry_space_group_name_Hall '-F 4 2 3'
loop_
_atom_site_label
_atom_site_fract_x
_atom_site_fract_y
_atom_site_fract_z
_atom_site_occupancy
Gd1 0.2500 0.2500 0.2500 1
Pa1 0.0000 0.0000 0.0000 1
Sb1 0.0000 0.0000 0.5000 1
```

Output
DOS at the Fermi energy in states/eV/cell: 28.105
Raw formation energy in kJ/mol of formula units: -17

=====

Record 16
A relaxed Al2CdSi crystal. Source: the Alexandria database, functional PBE.

Structure (CIF):
```
data_Al2CdSi
_cell_length_a 2.7986
_cell_length_b 2.7986
_cell_length_c 32.6978
_cell_angle_alpha 90.00
_cell_angle_beta 90.00
_cell_angle_gamma 120.00
_symmetry_space_group_name_H-M 'R 3 m'
_symmetry_Int_Tables_number 160
_symmetry_space_group_name_Hall 'R 3 -2"'
loop_
_atom_site_label
_atom_site_fract_x
_atom_site_fract_y
_atom_site_fract_z
_atom_site_occupancy
Al1 0.0000 0.0000 0.0000 1
Al2 0.0000 0.0000 0.2601 1
Cd1 0.0000 0.0000 0.5012 1
Si1 0.0000 0.0000 0.7418 1
```

Output
DOS at the Fermi energy in states/eV/cell: 2.167
Raw formation energy in kJ/mol of formula units: 77

=====

Record 17
A relaxed LaReCl2 crystal. Source: the Alexandria database, functional PBE.

Structure (CIF):
```
data_LaReCl2
_cell_length_a 4.4376
_cell_length_b 5.3696
_cell_length_c 8.2273
_cell_angle_alpha 90.00
_cell_angle_beta 90.00
_cell_angle_gamma 90.00
_symmetry_space_group_name_H-M 'C m m 2'
_symmetry_Int_Tables_number 35
loop_
_symmetry_equiv_pos_as_xyz
'x,y,z'
'-x,-y,z'
'-x,y,z'
'x,-y,z'
'x+1/2,y+1/2,z'
'-x+1/2,-y+1/2,z'
'-x+1/2,y+1/2,z'
'x+1/2,-y+1/2,z'
loop_
_atom_site_label
_atom_site_fract_x
_atom_site_fract_y
_atom_site_fract_z
_atom_site_occupancy
La1 0.0000 0.0000 0.0000 1
Re1 0.0000 0.5000 0.2530 1
Cl1 0.0000 0.0000 0.3647 1
Cl2 0.0000 0.5000 0.7680 1
```

Output
DOS at the Fermi energy in states/eV/cell: 5.877
Raw formation energy in kJ/mol of formula units: -98

=====

Record 18
A relaxed Ho4Pb2N crystal. Source: the Alexandria database, functional PBE.

Structure (CIF):
```
data_Ho4Pb2N
_cell_length_a 6.5132
_cell_length_b 6.7464
_cell_length_c 9.1756
_cell_angle_alpha 90.00
_cell_angle_beta 110.61
_cell_angle_gamma 90.00
_symmetry_space_group_name_H-M 'P 1 21/m 1'
_symmetry_Int_Tables_number 11
loop_
_symmetry_equiv_pos_as_xyz
'x,y,z'
'-x,-y,-z'
'-x,y+1/2,-z'
'x,-y+1/2,z'
loop_
_atom_site_label
_atom_site_fract_x
_atom_site_fract_y
_atom_site_fract_z
_atom_site_occupancy
Ho1 0.1828 0.2500 0.0454 1
Ho2 0.2426 0.0032 0.7175 1
Ho3 0.2649 0.7500 0.3437 1
Pb1 0.2317 0.2500 0.4073 1
Pb2 0.3350 0.7500 0.0298 1
N1 0.0874 0.2500 0.7905 1
```

Output
DOS at the Fermi energy in states/eV/cell: 7.392
Raw formation energy in kJ/mol of formula units: -540

=====

Record 19
A relaxed SrAlZn3 crystal. Source: the Alexandria database, functional PBE.

Structure (CIF):
```
data_SrAlZn3
_cell_length_a 4.9612
_cell_length_b 4.9612
_cell_length_c 4.9612
_cell_angle_alpha 90.00
_cell_angle_beta 90.00
_cell_angle_gamma 90.00
_symmetry_space_group_name_H-M 'P m -3 m'
_symmetry_Int_Tables_number 221
_symmetry_space_group_name_Hall '-P 4 2 3'
loop_
_atom_site_label
_atom_site_fract_x
_atom_site_fract_y
_atom_site_fract_z
_atom_site_occupancy
Sr1 0.0000 0.0000 0.0000 1
Al1 0.5000 0.5000 0.5000 1
Zn1 0.0000 0.5000 0.5000 1
```

Output
DOS at the Fermi energy in states/eV/cell: 3.273
Energy of formation from the pure elements in eV/atom: 0.04

=====

Record 20
A relaxed Ba3ZrPa3N8 crystal. Source: the Alexandria database, functional PBE.

Structure (CIF):
```
data_Ba3ZrPa3N8
_cell_length_a 7.0942
_cell_length_b 7.0942
_cell_length_c 19.3965
_cell_angle_alpha 90.00
_cell_angle_beta 90.00
_cell_angle_gamma 120.00
_symmetry_space_group_name_H-M 'R -3 m'
_symmetry_Int_Tables_number 166
_symmetry_space_group_name_Hall '-R 3 2"'
loop_
_atom_site_label
_atom_site_fract_x
_atom_site_fract_y
_atom_site_fract_z
_atom_site_occupancy
Ba1 0.0000 0.5000 0.0000 1
Zr1 0.0000 0.0000 0.5000 1
Pa1 0.0000 0.5000 0.5000 1
N1 0.0000 0.0000 0.2268 1
N2 0.0024 0.5012 0.2216 1
```

Output
DOS at the Fermi energy in states/eV/cell: 8.794
Raw formation energy in kJ/mol of formula units: -1876